1.
Density functional theory data (PBE-GGA) for an optimized crystal structure of Tb2Tm3Sc.

Lattice parameters (Å, degrees): 9.183 9.183 6.019 90.08 90.08 44.50
Atoms (fractional coordinates):
Tb  0.039  0.291  0.415
Tb  0.291  0.039  0.915
Tb  0.709  0.961  0.085
Tb  0.961  0.709  0.585
Tm  0.128  0.872  0.250
Tm  0.213  0.460  0.080
Tm  0.460  0.213  0.580
Tm  0.540  0.787  0.420
Tm  0.787  0.540  0.920
Tm  0.872  0.128  0.750
Sc  0.377  0.623  0.750
Sc  0.623  0.377  0.250

Its density of states at the Fermi level is 1.453 states/eV per atom. The relative energy among the computed polymorphs comes out at 0.0 meV/atom. For the total magnetization, the calculation gives 0.00 μB per cell. The calculated formation energy comes out at 0.2 eV/f.u.

---

2.
Density functional theory data (PBE-GGA) for an optimized crystal structure of TbTm6Sc8.

Lattice parameters (Å, degrees): 8.197 8.197 8.197 62.75 62.75 62.75
Atoms (fractional coordinates):
Tb  0.000  0.000  0.000
Tm  0.108  0.540  0.224
Tm  0.224  0.108  0.540
Tm  0.460  0.776  0.892
Tm  0.540  0.224  0.108
Tm  0.776  0.892  0.460
Tm  0.892  0.460  0.776
Sc  0.110  0.717  0.744
Sc  0.256  0.890  0.283
Sc  0.283  0.256  0.890
Sc  0.426  0.426  0.426
Sc  0.574  0.574  0.574
Sc  0.717  0.744  0.110
Sc  0.744  0.110  0.717
Sc  0.890  0.283  0.256

Its density of states at the Fermi level is 1.632 states/eV per atom. For the total magnetization, the calculation gives 0.00 μB per cell. The calculated formation energy comes out at 2.1 eV/f.u.